No. 1
Material: Tm6In2C
Method: DFT, PBE-GGA
State: relaxed

```
9
Lattice="3.537 0.000 0.000 0.000 7.399 4.274 0.000 -7.399 4.274" Properties=species:S:1:pos:R:3 pbc="T T T"
Tm 0.000 0.000 0.000
Tm 0.000 -1.589 5.798
Tm 0.000 1.589 5.798
Tm 1.769 -4.390 4.196
Tm 1.769 0.000 3.222
Tm 1.769 4.390 4.196
In 0.000 -2.474 2.457
In 0.000 2.474 2.457
C 1.769 0.000 6.712
```

SG   No. 38
V   223.7 Å³/f.u.
Energy relative to the elements   -0.202 eV per atom
VASP energy   -4.816 eV/atom

=====

No. 2
Material: VAg3Pb
Method: DFT, PBE-GGA
State: relaxed

```
5
Lattice="5.043 0.000 0.000 0.000 5.043 0.000 0.000 0.000 5.043" Properties=species:S:1:pos:R:3 pbc="T T T"
V 0.000 0.000 0.000
Ag 0.000 0.000 2.521
Ag 0.000 2.521 0.000
Ag 2.521 0.000 0.000
Pb 2.521 2.521 2.521
```

SG   No. 221
V   128.2 Å³/f.u.
Energy relative to the elements   0.934 eV per atom
VASP energy   -3.343 eV/atom

=====

No. 3
Material: PmTmRuAu
Method: DFT, PBE-GGA
State: relaxed

```
16
Lattice="7.052 0.000 0.000 0.000 7.052 0.000 0.000 0.000 7.052" Properties=species:S:1:pos:R:3 pbc="T T T"
Pm 0.000 0.000 0.000
Pm 0.000 3.526 3.526
Pm 3.526 0.000 3.526
Pm 3.526 3.526 0.000
Tm 0.000 0.000 3.526
Tm 0.000 3.526 0.000
Tm 3.526 0.000 0.000
Tm 3.526 3.526 3.526
Ru 1.763 1.763 1.763
Ru 1.763 5.289 5.289
Ru 5.289 1.763 5.289
Ru 5.289 5.289 1.763
Au 1.763 1.763 5.289
Au 1.763 5.289 1.763
Au 5.289 1.763 1.763
Au 5.289 5.289 5.289
```

SG   No. 216
V   87.7 Å³/f.u.
Energy relative to the elements   -0.529 eV per atom
VASP energy   -5.972 eV/atom

=====

No. 4
Material: HfTc2BOs
Method: DFT, PBE-GGA
State: relaxed

```
5
Lattice="4.173 0.000 0.000 0.000 4.173 0.000 0.000 0.000 4.154" Properties=species:S:1:pos:R:3 pbc="T T T"
Hf 0.000 0.000 0.000
Tc 0.000 2.086 2.077
Tc 2.086 0.000 2.077
B 2.086 2.086 2.077
Os 2.086 2.086 0.000
```

SG   No. 123
V   72.3 Å³/f.u.
Energy relative to the elements   -0.235 eV per atom
VASP energy   -9.954 eV/atom

=====

Q: Among the records above, which one has the highest V?
A: Tm6In2C

=====

Q: Look up the VASP energy of the second one.
A: -3.343 eV/atom